1.
DFT (GGA-PBE) results for CaCdOs3 after structural relaxation.

Properties
ΔE to the lowest computed polymorph (meV/atom): 0
DOS(E_F) (states/eV/cell): 8.753
Spin magnetization (μB per atom): 0.558
Space group: Pm-3m, No. 221
Formation enthalpy at 0 K (meV/atom): 2414
Calculated density (g/cm³): 10.195

a = 4.902 Å, b = 4.902 Å, c = 4.902 Å
α = 90.00°, β = 90.00°, γ = 90.00°
Last column: magnetic moment on the atom in μB.
Atoms (fractional coordinates):
Ca: 0.500 0.500 0.500  0.00
Os: 0.000 0.500 0.000  0.97
Os: 0.000 0.000 0.500  0.92
Os: 0.500 0.000 0.000  0.67
Cd: 0.000 0.000 0.000  0.01

***

2.
DFT (GGA-PBE) results for CaCd2Os after structural relaxation.

Properties
DOS(E_F) (states/eV/cell): 2.546
Spin magnetization (μB per atom): 0.000
Space group: Imm2, No. 44
Formation enthalpy at 0 K (meV/atom): 381
Calculated density (g/cm³): 9.163

a = 5.597 Å, b = 5.597 Å, c = 5.597 Å
α = 141.61°, β = 129.84°, γ = 64.88°
Atoms (fractional coordinates):
Ca: 0.261 0.761 0.500
Os: 0.511 0.511 0.000
Cd: 0.991 0.991 0.000
Cd: 0.737 0.237 0.500

***

3.
DFT (GGA-PBE) results for CaCd2Os after structural relaxation.

Properties
DOS(E_F) (states/eV/cell): 3.158
Spin magnetization (μB per atom): 0.000
Space group: I-4m2, No. 119
Formation enthalpy at 0 K (meV/atom): 373
Calculated density (g/cm³): 9.276

a = 5.254 Å, b = 5.254 Å, c = 5.254 Å
α = 130.70°, β = 130.70°, γ = 72.28°
Atoms (fractional coordinates):
Ca: 0.750 0.250 0.500
Os: 0.500 0.500 0.000
Cd: 0.000 0.000 0.000
Cd: 0.250 0.750 0.500

***

4.
DFT (GGA-PBE) results for CaCd2Os after structural relaxation.

Properties
DOS(E_F) (states/eV/cell): 3.337
Spin magnetization (μB per atom): 0.034
Space group: C2/m, No. 12
Formation enthalpy at 0 K (meV/atom): 453
Calculated density (g/cm³): 9.332

a = 5.876 Å, b = 5.519 Å, c = 2.912 Å
α = 82.56°, β = 79.22°, γ = 115.95°
Last column: magnetic moment on the atom in μB.
Atoms (fractional coordinates):
Ca: 0.500 0.000 0.500  0.00
Os: 0.500 0.500 0.000  0.12
Cd: 0.000 0.000 0.000  0.00
Cd: 0.000 0.500 0.500  0.00

***

5.
DFT (GGA-PBE) results for Ca2CdOs after structural relaxation.

Properties
DOS(E_F) (states/eV/cell): 4.463
Spin magnetization (μB per atom): 0.000
Space group: P2/m, No. 10
Formation enthalpy at 0 K (meV/atom): 219
Calculated density (g/cm³): 6.600

a = 3.488 Å, b = 3.358 Å, c = 8.890 Å
α = 67.66°, β = 90.00°, γ = 90.00°
Atoms (fractional coordinates):
Ca: 0.000 0.043 0.956
Ca: 0.000 0.457 0.544
Os: 0.500 0.750 0.750
Cd: 0.500 0.250 0.250

***

6.
DFT (GGA-PBE) results for CaCd3Os after structural relaxation.

Properties
ΔE to the lowest computed polymorph (meV/atom): 1445
DOS(E_F) (states/eV/cell): 4.838
Spin magnetization (μB per atom): 0.505
Space group: Pm-3m, No. 221
Formation enthalpy at 0 K (meV/atom): 1802
Calculated density (g/cm³): 5.134

a = 5.683 Å, b = 5.683 Å, c = 5.683 Å
α = 90.00°, β = 90.00°, γ = 90.00°
Last column: magnetic moment on the atom in μB.
Atoms (fractional coordinates):
Ca: 0.000 0.000 0.000  -0.09
Os: 0.500 0.500 0.500  2.82
Cd: 0.000 0.500 0.000  -0.03
Cd: 0.000 0.000 0.500  -0.02
Cd: 0.500 0.000 0.000  -0.02

***

7.
DFT (GGA-PBE) results for Ca2CdOs after structural relaxation.

Properties
DOS(E_F) (states/eV/cell): 3.065
Spin magnetization (μB per atom): 0.000
Space group: Cm, No. 8
Formation enthalpy at 0 K (meV/atom): 263
Calculated density (g/cm³): 6.554

a = 6.363 Å, b = 6.140 Å, c = 6.140 Å
α = 146.93°, β = 131.72°, γ = 59.41°
Atoms (fractional coordinates):
Ca: 0.949 0.959 0.990
Ca: 0.268 0.761 0.507
Os: 0.752 0.237 0.516
Cd: 0.530 0.543 0.988

***

8.
DFT (GGA-PBE) results for CaCd2Os after structural relaxation.

Properties
DOS(E_F) (states/eV/cell): 3.421
Spin magnetization (μB per atom): 0.000
Space group: R-3m, No. 166
Formation enthalpy at 0 K (meV/atom): 559
Calculated density (g/cm³): 9.165

a = 10.285 Å, b = 10.285 Å, c = 10.285 Å
α = 17.14°, β = 17.14°, γ = 17.14°
Atoms (fractional coordinates):
Ca: 0.750 0.750 0.750
Os: 0.250 0.250 0.250
Cd: 0.991 0.991 0.991
Cd: 0.509 0.509 0.509

***

9.
DFT (GGA-PBE) results for Ca2CdOs after structural relaxation.

Properties
DOS(E_F) (states/eV/cell): 3.587
Spin magnetization (μB per atom): 0.000
Space group: Cmmm, No. 65
Formation enthalpy at 0 K (meV/atom): 317
Calculated density (g/cm³): 6.881

a = 7.962 Å, b = 4.962 Å, c = 3.752 Å
α = 89.94°, β = 61.96°, γ = 128.65°
Atoms (fractional coordinates):
Ca: 0.000 0.000 0.000
Ca: 0.500 0.000 0.500
Os: 0.500 0.500 0.000
Cd: 0.000 0.500 0.500

***

10.
DFT (GGA-PBE) results for Ca2CdOs after structural relaxation.

Properties
DOS(E_F) (states/eV/cell): 5.392
Spin magnetization (μB per atom): 0.243
Space group: I-42d, No. 122
Formation enthalpy at 0 K (meV/atom): 805
Calculated density (g/cm³): 6.434

a = 4.412 Å, b = 4.412 Å, c = 10.618 Å
α = 78.01°, β = 78.01°, γ = 90.00°
Last column: magnetic moment on the atom in μB.
Atoms (fractional coordinates):
Ca: 0.644 0.125 0.250  0.01
Ca: 0.106 0.625 0.250  0.01
Ca: 0.375 0.356 0.750  0.01
Ca: 0.875 0.894 0.750  0.01
Os: 0.000 0.000 0.000  0.86
Os: 0.750 0.250 0.500  0.85
Cd: 0.500 0.500 0.000  0.00
Cd: 0.250 0.750 0.500  0.00

***

11.
DFT (GGA-PBE) results for CaCd3Os after structural relaxation.

Properties
ΔE to the lowest computed polymorph (meV/atom): 0
DOS(E_F) (states/eV/cell): 2.479
Spin magnetization (μB per atom): 0.000
Space group: Pm-3m, No. 221
Formation enthalpy at 0 K (meV/atom): 356
Calculated density (g/cm³): 6.723

a = 5.195 Å, b = 5.195 Å, c = 5.195 Å
α = 90.00°, β = 90.00°, γ = 90.00°
Atoms (fractional coordinates):
Ca: 0.500 0.500 0.500
Os: 0.000 0.000 0.000
Cd: 0.000 0.500 0.000
Cd: 0.000 0.000 0.500
Cd: 0.500 0.000 0.000

***

12.
DFT (GGA-PBE) results for CaCdOs3 after structural relaxation.

Properties
ΔE to the lowest computed polymorph (meV/atom): 536
DOS(E_F) (states/eV/cell): 6.934
Spin magnetization (μB per atom): 0.405
Space group: Pm-3m, No. 221
Formation enthalpy at 0 K (meV/atom): 2950
Calculated density (g/cm³): 11.465

a = 4.714 Å, b = 4.714 Å, c = 4.714 Å
α = 90.00°, β = 90.00°, γ = 90.00°
Last column: magnetic moment on the atom in μB.
Atoms (fractional coordinates):
Ca: 0.000 0.000 0.000  -0.02
Os: 0.000 0.500 0.000  0.71
Os: 0.000 0.000 0.500  0.53
Os: 0.500 0.000 0.000  0.73
Cd: 0.500 0.500 0.500  -0.02

***

13.
DFT (GGA-PBE) results for CaCd2Os after structural relaxation.

Properties
DOS(E_F) (states/eV/cell): 2.155
Spin magnetization (μB per atom): 0.000
Space group: I4/mmm, No. 139
Formation enthalpy at 0 K (meV/atom): 280
Calculated density (g/cm³): 9.381

a = 5.241 Å, b = 5.241 Å, c = 5.241 Å
α = 130.84°, β = 130.84°, γ = 72.06°
Atoms (fractional coordinates):
Ca: 0.750 0.250 0.500
Os: 0.250 0.750 0.500
Cd: 0.000 0.000 0.000
Cd: 0.500 0.500 0.000

***

14.
DFT (GGA-PBE) results for CaCd4Os after structural relaxation.

Properties
DOS(E_F) (states/eV/cell): 7.288
Spin magnetization (μB per atom): 0.141
Space group: F-43m, No. 216
Formation enthalpy at 0 K (meV/atom): 340
Calculated density (g/cm³): 8.944

a = 5.631 Å, b = 5.631 Å, c = 5.631 Å
α = 60.00°, β = 60.00°, γ = 60.00°
Last column: magnetic moment on the atom in μB.
Atoms (fractional coordinates):
Ca: 0.000 0.000 0.000  0.01
Cd: 0.873 0.376 0.376  0.01
Cd: 0.376 0.376 0.873  0.01
Cd: 0.376 0.873 0.376  0.01
Cd: 0.376 0.376 0.376  0.01
Os: 0.750 0.750 0.750  0.63

***

15.
DFT (GGA-PBE) results for CaCd2Os after structural relaxation.

Properties
DOS(E_F) (states/eV/cell): 2.201
Spin magnetization (μB per atom): 0.057
Space group: Cm, No. 8
Formation enthalpy at 0 K (meV/atom): 377
Calculated density (g/cm³): 8.963

a = 5.598 Å, b = 5.598 Å, c = 5.379 Å
α = 74.45°, β = 74.45°, γ = 31.38°
Last column: magnetic moment on the atom in μB.
Atoms (fractional coordinates):
Ca: 0.220 0.220 0.322  -0.01
Os: 0.476 0.476 0.439  0.25
Cd: 0.020 0.020 0.957  0.00
Cd: 0.785 0.785 0.782  0.00

***

16.
DFT (GGA-PBE) results for Ca2CdOs after structural relaxation.

Properties
DOS(E_F) (states/eV/cell): 2.401
Spin magnetization (μB per atom): 0.000
Space group: Pmm2, No. 25
Formation enthalpy at 0 K (meV/atom): 427
Calculated density (g/cm³): 7.000

a = 3.043 Å, b = 4.722 Å, c = 6.318 Å
α = 90.00°, β = 90.00°, γ = 90.00°
Atoms (fractional coordinates):
Ca: 0.000 0.000 0.955
Ca: 0.500 0.500 0.281
Os: 0.500 0.500 0.763
Cd: 0.000 0.000 0.502

***

17.
DFT (GGA-PBE) results for CaCd2Os after structural relaxation.

Properties
DOS(E_F) (states/eV/cell): 3.792
Spin magnetization (μB per atom): 0.195
Space group: P4/mmm, No. 123
Formation enthalpy at 0 K (meV/atom): 419
Calculated density (g/cm³): 9.048

a = 3.100 Å, b = 3.100 Å, c = 8.690 Å
α = 90.00°, β = 90.00°, γ = 90.00°
Last column: magnetic moment on the atom in μB.
Atoms (fractional coordinates):
Ca: 0.500 0.500 0.750  -0.01
Os: 0.500 0.500 0.250  0.81
Cd: 0.000 0.000 0.033  0.00
Cd: 0.000 0.000 0.467  0.00

***

18.
DFT (GGA-PBE) results for CaCd2Os after structural relaxation.

Properties
DOS(E_F) (states/eV/cell): 3.138
Spin magnetization (μB per atom): 0.181
Space group: P4mm, No. 99
Formation enthalpy at 0 K (meV/atom): 361
Calculated density (g/cm³): 8.966

a = 3.056 Å, b = 3.056 Å, c = 9.027 Å
α = 90.00°, β = 90.00°, γ = 89.99°
Last column: magnetic moment on the atom in μB.
Atoms (fractional coordinates):
Ca: 0.500 0.500 0.721  -0.01
Os: 0.000 0.000 0.488  0.71
Cd: 0.000 0.000 0.014  0.00
Cd: 0.500 0.500 0.277  0.00

***

19.
DFT (GGA-PBE) results for Ca2CdOs after structural relaxation.

Properties
DOS(E_F) (states/eV/cell): 3.114
Spin magnetization (μB per atom): 0.000
Space group: P4mm, No. 99
Formation enthalpy at 0 K (meV/atom): 340
Calculated density (g/cm³): 6.133

a = 3.605 Å, b = 3.605 Å, c = 7.975 Å
α = 90.00°, β = 90.00°, γ = 90.00°
Atoms (fractional coordinates):
Ca: 0.000 0.000 0.925
Ca: 0.500 0.500 0.321
Os: 0.500 0.500 0.701
Cd: 0.000 0.000 0.554

***

20.
DFT (GGA-PBE) results for Ca4CdOs after structural relaxation.

Properties
DOS(E_F) (states/eV/cell): 8.091
Spin magnetization (μB per atom): 0.000
Space group: F-43m, No. 216
Formation enthalpy at 0 K (meV/atom): 897
Calculated density (g/cm³): 4.788

a = 6.101 Å, b = 6.101 Å, c = 6.101 Å
α = 60.00°, β = 60.00°, γ = 60.00°
Atoms (fractional coordinates):
Ca: 0.879 0.374 0.374
Ca: 0.374 0.374 0.879
Ca: 0.374 0.879 0.374
Ca: 0.374 0.374 0.374
Cd: 0.750 0.750 0.750
Os: 0.000 0.000 0.000

***

21.
DFT (GGA-PBE) results for CaCd2Os after structural relaxation.

Properties
DOS(E_F) (states/eV/cell): 3.928
Spin magnetization (μB per atom): 0.011
Space group: R3m, No. 160
Formation enthalpy at 0 K (meV/atom): 479
Calculated density (g/cm³): 9.081

a = 10.212 Å, b = 10.212 Å, c = 10.212 Å
α = 17.41°, β = 17.41°, γ = 17.41°
Atoms (fractional coordinates):
Ca: 0.759 0.759 0.759
Os: 0.501 0.501 0.501
Cd: 0.998 0.998 0.998
Cd: 0.243 0.243 0.243

***

22.
DFT (GGA-PBE) results for CaCd2Os after structural relaxation.

Properties
DOS(E_F) (states/eV/cell): 2.171
Spin magnetization (μB per atom): 0.000
Space group: Fm-3m, No. 225
Formation enthalpy at 0 K (meV/atom): 302
Calculated density (g/cm³): 9.280

a = 4.865 Å, b = 4.865 Å, c = 4.865 Å
α = 60.00°, β = 60.00°, γ = 60.00°
Atoms (fractional coordinates):
Ca: 0.000 0.000 0.000
Os: 0.500 0.500 0.500
Cd: 0.250 0.250 0.250
Cd: 0.750 0.750 0.750

***

23.
DFT (GGA-PBE) results for Ca2CdOs after structural relaxation.

Properties
DOS(E_F) (states/eV/cell): 4.803
Spin magnetization (μB per atom): 0.000
Space group: R3m, No. 160
Formation enthalpy at 0 K (meV/atom): 599
Calculated density (g/cm³): 6.435

a = 10.509 Å, b = 10.509 Å, c = 10.509 Å
α = 18.19°, β = 18.19°, γ = 18.19°
Atoms (fractional coordinates):
Ca: 0.017 0.017 0.017
Ca: 0.241 0.241 0.241
Os: 0.753 0.753 0.753
Cd: 0.489 0.489 0.489

***

24.
DFT (GGA-PBE) results for CaCd2Os after structural relaxation.

Properties
DOS(E_F) (states/eV/cell): 3.595
Spin magnetization (μB per atom): 0.033
Space group: P4/mmm, No. 123
Formation enthalpy at 0 K (meV/atom): 359
Calculated density (g/cm³): 9.318

a = 4.319 Å, b = 4.320 Å, c = 4.347 Å
α = 90.00°, β = 90.00°, γ = 90.00°
Last column: magnetic moment on the atom in μB.
Atoms (fractional coordinates):
Ca: 0.000 0.500 0.500  0.00
Os: 0.500 0.000 0.500  0.13
Cd: 0.000 0.000 0.000  0.00
Cd: 0.500 0.500 0.000  0.00

***

25.
DFT (GGA-PBE) results for CaTaCd2Os after structural relaxation.

Properties
DOS(E_F) (states/eV/cell): 3.897
Spin magnetization (μB per atom): 0.524
Space group: P4/mmm, No. 123
Formation enthalpy at 0 K (meV/atom): 2520
Calculated density (g/cm³): 8.184

a = 5.072 Å, b = 5.017 Å, c = 5.072 Å
α = 90.00°, β = 90.00°, γ = 90.00°
Last column: magnetic moment on the atom in μB.
Atoms (fractional coordinates):
Ca: 0.000 0.000 0.000  0.04
Cd: 0.000 0.000 0.500  0.01
Cd: 0.500 0.000 0.000  0.00
Os: 0.500 0.500 0.500  2.26
Ta: 0.000 0.500 0.000  0.10

***

26.
DFT (GGA-PBE) results for CaTl2CdOs after structural relaxation.

Properties
DOS(E_F) (states/eV/cell): 1.515
Spin magnetization (μB per atom): 0.000
Space group: P4/mmm, No. 123
Formation enthalpy at 0 K (meV/atom): 311
Calculated density (g/cm³): 8.540

a = 5.263 Å, b = 5.276 Å, c = 5.263 Å
α = 90.00°, β = 90.00°, γ = 90.00°
Atoms (fractional coordinates):
Tl: 0.000 0.000 0.500
Tl: 0.500 0.000 0.000
Os: 0.000 0.000 0.000
Ca: 0.500 0.500 0.500
Cd: 0.000 0.500 0.000

***

27.
DFT (GGA-PBE) results for CaZr2CdOs after structural relaxation.

Properties
DOS(E_F) (states/eV/cell): 7.432
Spin magnetization (μB per atom): 0.000
Space group: P4/mmm, No. 123
Formation enthalpy at 0 K (meV/atom): 2132
Calculated density (g/cm³): 7.473

a = 4.859 Å, b = 4.942 Å, c = 4.859 Å
α = 90.00°, β = 90.00°, γ = 90.00°
Atoms (fractional coordinates):
Ca: 0.000 0.000 0.000
Os: 0.500 0.500 0.500
Zr: 0.000 0.000 0.500
Zr: 0.500 0.000 0.000
Cd: 0.000 0.500 0.000

***

28.
DFT (GGA-PBE) results for Ca3CdP after structural relaxation.

Properties
ΔE to the lowest computed polymorph (meV/atom): 22
DOS(E_F) (states/eV/cell): 6.508
Spin magnetization (μB per atom): 0.000
Space group: Amm2, No. 38
Formation enthalpy at 0 K (meV/atom): -636
Calculated density (g/cm³): 3.023

a = 3.842 Å, b = 8.513 Å, c = 9.062 Å
α = 90.00°, β = 77.76°, γ = 90.00°
Atoms (fractional coordinates):
P: 0.948 0.904 0.825
P: 0.948 0.404 0.825
Ca: 0.320 0.404 0.079
Ca: 0.478 0.654 0.766
Ca: 0.114 0.404 0.494
Ca: 0.478 0.154 0.766
Ca: 0.320 0.904 0.079
Ca: 0.114 0.904 0.494
Cd: 0.705 0.654 0.310
Cd: 0.705 0.154 0.311

***

29.
DFT (GGA-PBE) results for CaCdP2 after structural relaxation.

Properties
DOS(E_F) (states/eV/cell): 3.616
Spin magnetization (μB per atom): 0.000
Space group: F-43m, No. 216
Formation enthalpy at 0 K (meV/atom): 99
Calculated density (g/cm³): 4.315

a = 4.887 Å, b = 4.887 Å, c = 4.887 Å
α = 60.00°, β = 60.00°, γ = 60.00°
Atoms (fractional coordinates):
Ca: 0.500 0.500 0.500
Cd: 0.750 0.750 0.750
P: 0.000 0.000 0.000
P: 0.250 0.250 0.250

***

For each record above, in turn, the calculated volume values are 23.557 20.621 20.368 20.246 24.078 36.714 24.247 20.615 23.096 24.699 28.037 20.949 20.141 21.040 21.079 22.702 20.883 21.073 25.911 26.758 20.806 20.360 24.695 20.276 25.812 29.224 23.339 28.966 20.630 Å³ per atom.